# PBE-GGA CeCoBr6, optimized geometry
# - density of states at the Fermi level (states/eV per atom) = 0.314
data_CeCoBr6
_chemical_formula_sum 'Ce2 Co2 Br12'
_cell_length_a 6.654
_cell_length_b 13.156
_cell_length_c 6.651
_cell_angle_alpha 90.00
_cell_angle_beta 108.54
_cell_angle_gamma 90.00
_space_group_name_H-M_alt 'C 1 2/m 1'
_space_group_IT_number 12
_space_group_name_Hall '-C 2y'
loop_
_atom_site_label
_atom_site_type_symbol
_atom_site_fract_x
_atom_site_fract_y
_atom_site_fract_z
Ce1 Ce 0.000 0.000 0.000
Co1 Co 0.000 0.500 0.500
Br1 Br 0.228 0.358 0.731
Br2 Br 0.245 0.500 0.259

# PBE-GGA CeCoBr, optimized geometry
# - density of states at the Fermi level (states/eV per atom) = 1.738
data_CeCoBr
_chemical_formula_sum 'Ce4 Co4 Br4'
_cell_length_a 6.896
_cell_length_b 3.982
_cell_length_c 11.562
_cell_angle_alpha 90.00
_cell_angle_beta 101.28
_cell_angle_gamma 90.00
_space_group_name_H-M_alt 'C 1 2/m 1'
_space_group_IT_number 12
_space_group_name_Hall '-C 2y'
loop_
_atom_site_label
_atom_site_type_symbol
_atom_site_fract_x
_atom_site_fract_y
_atom_site_fract_z
Ce1 Ce 0.054 0.000 0.165
Co1 Co 0.166 0.500 0.997
Br1 Br 0.222 0.000 0.658

# PBE-GGA CeCo2Br8, optimized geometry
# - density of states at the Fermi level (states/eV per atom) = 0.631
data_CeCo2Br8
_chemical_formula_sum 'Ce4 Co8 Br32'
_cell_length_a 19.323
_cell_length_b 8.705
_cell_length_c 12.906
_cell_angle_alpha 90.00
_cell_angle_beta 130.21
_cell_angle_gamma 90.00
_space_group_name_H-M_alt 'C 1 2/c 1'
_space_group_IT_number 15
_space_group_name_Hall '-C 2yc'
loop_
_atom_site_label
_atom_site_type_symbol
_atom_site_fract_x
_atom_site_fract_y
_atom_site_fract_z
Ce1 Ce 0.000 0.007 0.250
Co1 Co 0.086 0.244 0.527
Br1 Br 0.069 0.237 0.181
Br2 Br 0.087 0.233 0.716
Br3 Br 0.158 0.463 0.548
Br4 Br 0.159 0.020 0.529

# PBE-GGA Ce7CoBr12, optimized geometry
# - density of states at the Fermi level (states/eV per atom) = 2.687
data_Ce7CoBr12
_chemical_formula_sum 'Ce21 Co3 Br36'
_cell_length_a 15.2399
_cell_length_b 15.2399
_cell_length_c 10.2736
_cell_angle_alpha 90.00
_cell_angle_beta 90.00
_cell_angle_gamma 120.00
_space_group_name_H-M_alt 'R -3'
_space_group_IT_number 148
_space_group_name_Hall '-R 3'
loop_
_atom_site_label
_atom_site_type_symbol
_atom_site_fract_x
_atom_site_fract_y
_atom_site_fract_z
Ce1 Ce 0.0000 0.0000 0.0000
Ce2 Ce 0.0406 0.8787 0.3450
Co1 Co 0.0000 0.0000 0.5000
Br1 Br 0.0245 0.4393 0.1592
Br2 Br 0.0470 0.8645 0.8398

Number 1: raw total energy -3.915 eV/atom. Number 2: raw total energy -5.812 eV/atom. Number 3: raw total energy -3.895 eV/atom. Number 4: raw total energy -4.923 eV/atom.